{"formula": "GaFeTcOs2", "functional": "PBE-GGA", "state": "relaxed", "lattice": [[4.445, 0.000, 0.000], [0.000, 4.391, 0.000], [0.000, 0.000, 4.445]], "species": ["Os", "Os", "Tc", "Ga", "Fe"], "fractional_positions": [[0.000, 0.000, 0.500], [0.500, 0.000, 0.000], [0.000, 0.500, 0.000], [0.500, 0.500, 0.500], [0.000, 0.000, 0.000]], "dos_at_fermi_per_ev_atom": 1.397, "space_group": "P4/mmm, No. 123"}



{"formula": "GaFe3P", "functional": "PBE-GGA", "state": "relaxed", "lattice": [[4.172, 0.000, 0.000], [0.000, 4.172, 0.000], [0.000, 0.000, 4.172]], "species": ["P", "Fe", "Fe", "Fe", "Ga"], "fractional_positions": [[0.000, 0.000, 0.000], [0.000, 0.500, 0.000], [0.000, 0.000, 0.500], [0.500, 0.000, 0.000], [0.500, 0.500, 0.500]], "dos_at_fermi_per_ev_atom": 0.440, "space_group": "Pm-3m, No. 221"}



{"formula": "GaFe3P", "functional": "PBE-GGA", "state": "relaxed", "lattice": [[-2.361, -3.441, -1.323], [0.951, -2.087, 3.730], [-3.562, 1.724, 1.873]], "species": ["P", "Fe", "Fe", "Fe", "Ga"], "fractional_positions": [[0.500, 0.500, 0.500], [0.000, 0.500, 0.000], [0.000, 0.000, 0.500], [0.500, 0.000, 0.000], [0.000, 0.000, 0.000]], "dos_at_fermi_per_ev_atom": 1.124, "space_group": "Pm-3m, No. 221"}



{"formula": "Ga2Fe2P", "functional": "PBE-GGA", "state": "relaxed", "lattice": [[-5.157, -2.588, -0.594], [1.510, -1.790, -5.307], [1.453, -3.242, 1.507]], "species": ["P", "P", "Fe", "Fe", "Fe", "Fe", "Ga", "Ga", "Ga", "Ga"], "fractional_positions": [[0.000, 0.000, 0.000], [0.500, 0.500, 0.000], [0.339, 0.839, 0.000], [0.839, 0.661, 0.000], [0.661, 0.161, 0.000], [0.161, 0.339, 0.000], [0.155, 0.655, 0.500], [0.655, 0.845, 0.500], [0.845, 0.345, 0.500], [0.345, 0.155, 0.500]], "dos_at_fermi_per_ev_atom": 0.876, "space_group": "P4/mbm, No. 127"}



So what do the calculations give for energy? Going down the list: -36.76; -32.83; -28.08; -29.00 eV/f.u..
So what do the calculations give for energy of formation? Going down the list: 1.51; 0.20; 1.15; -0.12 eV/atom.